No. 1
This record from the Alexandria database describes an optimized crystal structure of La2GdTe. The functional is PBE-GGA.

The value obtained for the energy above the lowest structure with this stoichiometry is 0 meV/atom. The calculation puts the formation energy without anion corrections at -0.6306 eV per atom.

It has space group P4/mmm (No. 123), with a = 4.067 Å, b = 4.067 Å, c = 8.048 Å, α = 90.00°, β = 90.00° and γ = 90.00°. The distinct sites, in fractional coordinates, are La at (0.000, 0.000, 0.221), Gd at (0.500, 0.500, 0.500) and Te at (0.500, 0.500, 0.000).

No. 2
This record from the Alexandria database describes an optimized crystal structure of La2GdTh. The functional is PBE-GGA.

The value obtained for the energy above the lowest structure with this stoichiometry is 24 meV/atom. For the formation energy, the calculation gives 0.054 eV per atom.

It has space group P4/mmm (No. 123), with a = 5.143 Å, b = 5.143 Å, c = 5.157 Å, α = 90.00°, β = 90.00° and γ = 90.00°. The distinct sites, in fractional coordinates, are La at (0.000, 0.500, 0.000), Gd at (0.000, 0.000, 0.500) and Th at (0.500, 0.500, 0.500).

Question: Among the records above, which one has the lowest energy above the lowest structure with this stoichiometry?
Answer: La2GdTe